# 1
Entry from Alexandria via LeMat-Bulk: Li4YZr after structural relaxation (PBE).

Properties
The calculation puts the calculated volume at 20.99 Å³ per atom. The density is 2.741 g cm⁻³. The calculation puts the formation energy at 0.26 eV/atom. The magnetization comes out at 4.1 μB/cell.

Cell: 7.9573 7.9573 7.9573 Å, 90.00 90.00 90.00°
Space group F-43m (No. 216)
Asymmetric unit:
Li1 0.1233 0.1233 0.3767 [16 per cell]
Y1 0.0000 0.0000 0.0000 [4 per cell]
Zr1 0.2500 0.2500 0.7500 [4 per cell]


# 2
Entry from Alexandria via LeMat-Bulk: LiY2Zr after structural relaxation (PBE).

Properties
The calculation puts the calculated volume at 26.53 Å³ per atom. The energy relative to the lowest polymorph listed for this composition comes out at 230 meV per atom. The density is 4.319 g cm⁻³. The calculation puts the formation energy at 0.31 eV/atom. The magnetization comes out at 0.0 μB/cell.

Cell: 3.5135 5.3489 5.6461 Å, 90.00 90.00 90.00°
Space group Pmmm (No. 47)
Asymmetric unit:
Li1 0.0000 0.0000 0.0000 [1 per cell]
Y1 0.0000 0.5000 0.5000 [1 per cell]
Y2 0.5000 0.5000 0.0000 [1 per cell]
Zr1 0.5000 0.0000 0.5000 [1 per cell]


# 3
Entry from Alexandria via LeMat-Bulk: LiY2Zr after structural relaxation (PBE).

Properties
The calculation puts the calculated volume at 26.59 Å³ per atom. The energy relative to the lowest polymorph listed for this composition comes out at 179 meV per atom. The density is 4.308 g cm⁻³. The calculation puts the formation energy at 0.25 eV/atom. The magnetization comes out at 6.1 μB/cell.

Cell: 7.5212 7.5212 7.5212 Å, 90.00 90.00 90.00°
Space group Fm-3m (No. 225)
Asymmetric unit:
Li1 0.0000 0.0000 0.0000 [4 per cell]
Y1 0.2500 0.2500 0.2500 [8 per cell]
Zr1 0.0000 0.0000 0.5000 [4 per cell]


# 4
Entry from Alexandria via LeMat-Bulk: LiY2Zr after structural relaxation (PBE).

Properties
The calculation puts the calculated volume at 26.80 Å³ per atom. The energy relative to the lowest polymorph listed for this composition comes out at 0 meV per atom. The density is 4.276 g cm⁻³. The calculation puts the formation energy at 0.08 eV/atom. The magnetization comes out at 0.0 μB/cell.

Cell: 3.4525 3.4525 8.9919 Å, 90.00 90.00 90.00°
Space group P4/mmm (No. 123)
Asymmetric unit:
Li1 0.0000 0.0000 0.0000 [1 per cell]
Y1 0.5000 0.5000 0.2510 [2 per cell]
Zr1 0.0000 0.0000 0.5000 [1 per cell]


# 5
Entry from Alexandria via LeMat-Bulk: LiY2Zr after structural relaxation (PBE).

Properties
The calculation puts the calculated volume at 26.30 Å³ per atom. The energy relative to the lowest polymorph listed for this composition comes out at 196 meV per atom. The density is 4.356 g cm⁻³. The calculation puts the formation energy at 0.27 eV/atom. The magnetization comes out at 0.0 μB/cell.

Cell: 4.5574 4.5574 10.1297 Å, 90.00 90.00 90.00°
Space group I-4m2 (No. 119)
Asymmetric unit:
Li1 0.0000 0.0000 0.0000 [2 per cell]
Y1 0.0000 0.0000 0.5000 [2 per cell]
Y2 0.0000 0.5000 0.7500 [2 per cell]
Zr1 0.0000 0.5000 0.2500 [2 per cell]


# 6
Entry from Alexandria via LeMat-Bulk: LiY2Zr after structural relaxation (PBE).

Properties
The calculation puts the calculated volume at 26.56 Å³ per atom. The energy relative to the lowest polymorph listed for this composition comes out at 112 meV per atom. The density is 4.314 g cm⁻³. The calculation puts the formation energy at 0.19 eV/atom. The magnetization comes out at 0.0 μB/cell.

Cell: 3.3764 5.1610 6.3243 Å, 90.00 105.42 90.00°
Space group Pm (No. 6)
Asymmetric unit:
Li1 0.0000 0.0000 0.0000 [1 per cell]
Y1 0.2774 0.0000 0.5465 [1 per cell]
Y2 0.6045 0.5000 0.2030 [1 per cell]
Zr1 0.8740 0.5000 0.7387 [1 per cell]


# 7
Entry from Alexandria via LeMat-Bulk: LiY2Zr after structural relaxation (PBE).

Properties
The calculation puts the calculated volume at 26.21 Å³ per atom. The energy relative to the lowest polymorph listed for this composition comes out at 268 meV per atom. The density is 4.371 g cm⁻³. The calculation puts the formation energy at 0.34 eV/atom. The magnetization comes out at 0.4 μB/cell.

Cell: 7.4854 7.4854 7.4854 Å, 90.00 90.00 90.00°
Space group F-43m (No. 216)
Asymmetric unit:
Li1 0.0000 0.0000 0.0000 [4 per cell]
Y1 0.0000 0.0000 0.5000 [4 per cell]
Y2 0.2500 0.2500 0.7500 [4 per cell]
Zr1 0.2500 0.2500 0.2500 [4 per cell]


# 8
Entry from Alexandria via LeMat-Bulk: LiY2Zr after structural relaxation (PBE).

Properties
The calculation puts the calculated volume at 26.55 Å³ per atom. The energy relative to the lowest polymorph listed for this composition comes out at 107 meV per atom. The density is 4.315 g cm⁻³. The calculation puts the formation energy at 0.18 eV/atom. The magnetization comes out at 0.0 μB/cell.

Cell: 7.1719 8.6668 3.4170 Å, 90.00 90.00 90.00°
Space group Cmmm (No. 65)
Asymmetric unit:
Li1 0.0000 0.0000 0.0000 [2 per cell]
Y1 0.2500 0.2500 0.5000 [4 per cell]
Zr1 0.0000 0.5000 0.0000 [2 per cell]


# 9
Entry from Alexandria via LeMat-Bulk: LiY2Zr after structural relaxation (PBE).

Properties
The calculation puts the calculated volume at 26.50 Å³ per atom. The energy relative to the lowest polymorph listed for this composition comes out at 108 meV per atom. The density is 4.323 g cm⁻³. The calculation puts the formation energy at 0.18 eV/atom. The magnetization comes out at 0.0 μB/cell.

Cell: 5.5478 5.5478 3.4439 Å, 90.00 90.00 90.00°
Space group P4/mmm (No. 123)
Asymmetric unit:
Li1 0.0000 0.0000 0.0000 [1 per cell]
Y1 0.0000 0.5000 0.5000 [2 per cell]
Zr1 0.5000 0.5000 0.0000 [1 per cell]


# 10
Entry from Alexandria via LeMat-Bulk: Li2Y2Zr after structural relaxation (PBE).

Properties
The calculation puts the calculated volume at 24.38 Å³ per atom. The energy relative to the lowest polymorph listed for this composition comes out at 0 meV per atom. The density is 3.854 g cm⁻³. The calculation puts the formation energy at 0.27 eV/atom. The magnetization comes out at 0.0 μB/cell.

Cell: 8.5247 8.5247 3.3547 Å, 90.00 90.00 90.00°
Space group P4/mbm (No. 127)
Asymmetric unit:
Li1 0.1115 0.3885 0.0000 [4 per cell]
Y1 0.1896 0.6896 0.5000 [4 per cell]
Zr1 0.0000 0.0000 0.0000 [2 per cell]


# 11
Entry from Alexandria via LeMat-Bulk: LiY2Zr after structural relaxation (PBE).

Properties
The calculation puts the calculated volume at 25.86 Å³ per atom. The energy relative to the lowest polymorph listed for this composition comes out at 78 meV per atom. The density is 4.430 g cm⁻³. The calculation puts the formation energy at 0.15 eV/atom. The magnetization comes out at 0.0 μB/cell.

Cell: 3.4783 3.4783 8.5512 Å, 90.00 90.00 90.00°
Space group P4mm (No. 99)
Asymmetric unit:
Li1 0.0000 0.0000 0.0000 [1 per cell]
Y1 0.0000 0.0000 0.5464 [1 per cell]
Y2 0.5000 0.5000 0.2315 [1 per cell]
Zr1 0.5000 0.5000 0.8035 [1 per cell]


# 12
Entry from Alexandria via LeMat-Bulk: LiY3Zr after structural relaxation (PBE).

Properties
The calculation puts the calculated volume at 35.56 Å³ per atom. The energy relative to the lowest polymorph listed for this composition comes out at 0 meV per atom. The density is 3.408 g cm⁻³. The calculation puts the formation energy at 0.62 eV/atom. The magnetization comes out at 0.0 μB/cell.

Cell: 5.6231 5.6231 5.6231 Å, 90.00 90.00 90.00°
Space group Pm-3m (No. 221)
Asymmetric unit:
Li1 0.0000 0.0000 0.0000 [1 per cell]
Y1 0.0000 0.5000 0.5000 [3 per cell]
Zr1 0.5000 0.5000 0.5000 [1 per cell]


# 13
Entry from Alexandria via LeMat-Bulk: LiYb3 after structural relaxation (PBE).

Properties
The calculation puts the calculated volume at 36.66 Å³ per atom. The density is 5.957 g cm⁻³. The calculation puts the formation energy at 0.08 eV/atom. The magnetization comes out at 0.0 μB/cell.

Cell: 5.2357 5.2357 10.6985 Å, 90.00 90.00 90.00°
Space group I4/mmm (No. 139)
Asymmetric unit:
Li1 0.0000 0.0000 0.0000 [2 per cell]
Yb1 0.0000 0.0000 0.5000 [2 per cell]
Yb2 0.0000 0.5000 0.2500 [4 per cell]


# 14
Entry from Alexandria via LeMat-Bulk: LiYb3 after structural relaxation (PBE).

Properties
The calculation puts the calculated volume at 33.10 Å³ per atom. The density is 6.598 g cm⁻³. The calculation puts the formation energy at 0.00 eV/atom. The magnetization comes out at 2.1 μB/cell.

Cell: 8.0905 8.0905 8.0905 Å, 90.00 90.00 90.00°
Space group Fm-3m (No. 225)
Asymmetric unit:
Li1 0.0000 0.0000 0.0000 [4 per cell]
Yb1 0.0000 0.0000 0.5000 [4 per cell]
Yb2 0.2500 0.2500 0.2500 [8 per cell]


# 15
Entry from Alexandria via LeMat-Bulk: Li3Yb after structural relaxation (PBE).

Properties
The calculation puts the calculated volume at 26.58 Å³ per atom. The density is 3.028 g cm⁻³. The calculation puts the formation energy at 0.09 eV/atom. The magnetization comes out at 0.0 μB/cell.

Cell: 7.5203 7.5203 7.5203 Å, 90.00 90.00 90.00°
Space group Fm-3m (No. 225)
Asymmetric unit:
Li1 0.0000 0.0000 0.0000 [4 per cell]
Li2 0.2500 0.2500 0.2500 [8 per cell]
Yb1 0.0000 0.0000 0.5000 [4 per cell]


# 16
Entry from Alexandria via LeMat-Bulk: Li3Yb after structural relaxation (PBE).

Properties
The calculation puts the calculated volume at 25.76 Å³ per atom. The density is 3.125 g cm⁻³. The calculation puts the formation energy at 0.06 eV/atom. The magnetization comes out at 0.4 μB/cell.

Cell: 6.7658 6.7658 5.1977 Å, 90.00 90.00 120.00°
Space group P6_3/mmc (No. 194)
Asymmetric unit:
Li1 0.1479 0.2958 0.2500 [6 per cell]
Yb1 0.3333 0.6667 0.7500 [2 per cell]


# 17
Entry from Alexandria via LeMat-Bulk: LiYb3 after structural relaxation (PBE).

Properties
The calculation puts the calculated volume at 33.10 Å³ per atom. The density is 6.598 g cm⁻³. The calculation puts the formation energy at -0.01 eV/atom. The magnetization comes out at 1.3 μB/cell.

Cell: 7.2053 7.2053 5.8894 Å, 90.00 90.00 120.00°
Space group P6_3/mmc (No. 194)
Asymmetric unit:
Li1 0.3333 0.6667 0.2500 [2 per cell]
Yb1 0.1680 0.3361 0.7500 [6 per cell]


# 18
Entry from Alexandria via LeMat-Bulk: Li5Zn3 after structural relaxation (PBE).

Properties
The calculation puts the calculated volume at 16.61 Å³ per atom. The energy relative to the lowest polymorph listed for this composition comes out at 37 meV per atom. The density is 2.885 g cm⁻³. The calculation puts the formation energy at -0.10 eV/atom. The magnetization comes out at 0.0 μB/cell.

Cell: 7.8200 7.8200 5.0189 Å, 90.00 90.00 120.00°
Space group P6_3/mcm (No. 193)
Asymmetric unit:
Li1 0.0000 0.2398 0.2500 [6 per cell]
Li2 0.3333 0.6667 0.0000 [4 per cell]
Zn1 0.0000 0.4125 0.7500 [6 per cell]


# 19
Entry from Alexandria via LeMat-Bulk: Li2Zn after structural relaxation (PBE).

Properties
The calculation puts the calculated volume at 20.50 Å³ per atom. The density is 2.141 g cm⁻³. The calculation puts the formation energy at 0.10 eV/atom. The magnetization comes out at 0.0 μB/cell.

Cell: 6.2655 6.2655 6.2655 Å, 90.00 90.00 90.00°
Space group Fm-3m (No. 225)
Asymmetric unit:
Li1 0.2500 0.2500 0.2500 [8 per cell]
Zn1 0.0000 0.0000 0.0000 [4 per cell]


# 20
Entry from Alexandria via LeMat-Bulk: Li2Zn after structural relaxation (PBE).

Properties
The calculation puts the calculated volume at 15.45 Å³ per atom. The density is 2.841 g cm⁻³. The calculation puts the formation energy at 0.05 eV/atom. The magnetization comes out at 2.7 μB/cell.

Cell: 7.1841 7.1841 7.1841 Å, 90.00 90.00 90.00°
Space group Fd-3m (No. 227, origin choice 2)
Asymmetric unit:
Li1 0.0000 0.0000 0.0000 [16 per cell]
Zn1 0.1250 0.1250 0.6250 [8 per cell]